# PBE Sc2AlTeRu, relaxed
data_Sc2AlTeRu
_cell_length_a 5.115
_cell_length_b 5.115
_cell_length_c 4.452
_cell_angle_alpha 90.00
_cell_angle_beta 90.00
_cell_angle_gamma 90.00
_symmetry_space_group_name_H-M 'P 4/m m m'
_symmetry_Int_Tables_number 123
_symmetry_space_group_name_Hall '-P 4 2'
loop_
_atom_site_label
_atom_site_type_symbol
_atom_site_fract_x
_atom_site_fract_y
_atom_site_fract_z
Sc1 Sc 0.000 0.500 0.000
Al1 Al 0.000 0.000 0.000
Te1 Te 0.500 0.500 0.500
Ru1 Ru 0.000 0.000 0.500
# Uncorrected formation energy: 0.19 eV/atom